Version one
First-principles (PBE) data for a relaxed structure of Dy5Tm4Tl, as listed in the Alexandria database.

Cell lengths 3.528, 3.528, 24.263 Å; angles 90.00, 90.00, 90.00 degrees
Positions (direct):
Dy (0.500, 0.500, 0.295)
Dy (0.500, 0.500, 0.910)
Dy (0.500, 0.500, 0.705)
Dy (0.500, 0.500, 0.090)
Dy (0.500, 0.500, 0.500)
Tm (0.000, 0.000, 0.193)
Tm (0.000, 0.000, 0.397)
Tm (0.000, 0.000, 0.807)
Tm (0.000, 0.000, 0.603)
Tl (0.000, 0.000, 0.000)

---

Version two
First-principles (PBE) data for a relaxed structure of Dy5Tm4Tl, as listed in the Alexandria database.

Cell lengths 6.144, 7.842, 7.842 Å; angles 81.17, 66.94, 66.94 degrees
Positions (direct):
Tm (0.414, 0.394, 0.697)
Tm (0.808, 0.697, 0.606)
Tm (0.505, 0.606, 0.303)
Tm (0.111, 0.303, 0.394)
Dy (0.191, 0.917, 0.625)
Dy (0.644, 0.000, 0.000)
Dy (0.816, 0.375, 0.917)
Dy (0.733, 0.083, 0.375)
Dy (0.108, 0.625, 0.083)
Tl (0.180, 0.000, 0.000)

---

version one (280 meV per atom below the next structure)

---

Version one
First-principles (PBE) data for a relaxed structure of Dy3TmTl4, as listed in the Alexandria database.

Cell lengths 6.613, 6.714, 9.972 Å; angles 90.00, 90.00, 90.00 degrees
Positions (direct):
Tl (0.064, 0.250, 0.750)
Tl (0.314, 0.500, 0.000)
Tl (0.564, 0.750, 0.250)
Tl (0.814, 0.000, 0.500)
Tl (0.064, 0.250, 0.250)
Tl (0.814, 0.500, 0.500)
Tl (0.564, 0.750, 0.750)
Tl (0.314, 0.000, 0.000)
Tm (0.814, 0.500, 0.000)
Tm (0.314, 0.500, 0.500)
Dy (0.064, 0.749, 0.750)
Dy (0.564, 0.251, 0.750)
Dy (0.315, 0.000, 0.500)
Dy (0.564, 0.251, 0.250)
Dy (0.064, 0.749, 0.250)
Dy (0.815, 0.000, 0.000)

---

Version two
First-principles (PBE) data for a relaxed structure of Dy3TmTl4, as listed in the Alexandria database.

Cell lengths 3.777, 3.777, 15.136 Å; angles 90.00, 90.00, 90.00 degrees
Positions (direct):
Tl (0.000, 0.000, 0.626)
Tl (0.000, 0.000, 0.374)
Tl (0.000, 0.000, 0.878)
Tl (0.000, 0.000, 0.122)
Dy (0.500, 0.500, 0.752)
Dy (0.500, 0.500, 0.248)
Dy (0.500, 0.500, 0.500)
Tm (0.500, 0.500, 0.000)

---

version two (121 meV per atom below the next structure)